Entry 1:
Computed, not measured: RuS2BrN after structural relaxation at the PBE-GGA level of DFT.

Properties
V   17.752 Å³/atom
Offset from the most stable computed form   1363 meV/atom
Formation energy (no corrections)   195.1 kJ/mol of atoms
E_tot   -17.4 eV/cell
Magnetic moment   3.03 Bohr magnetons per cell

Cell and atoms, written as CIF:
```
data_RuS2BrN
_chemical_formula_sum 'Ru1 S2 Br1 N1'
_cell_length_a 4.957
_cell_length_b 4.957
_cell_length_c 3.612
_cell_angle_alpha 90.00
_cell_angle_beta 90.00
_cell_angle_gamma 90.00
_symmetry_space_group_name_H-M 'P 4/m m m'
_symmetry_Int_Tables_number 123
_symmetry_space_group_name_Hall '-P 4 2'
loop_
_atom_site_label
_atom_site_type_symbol
_atom_site_fract_x
_atom_site_fract_y
_atom_site_fract_z
Ru1 Ru 0.000 0.000 0.000
S1 S 0.000 0.500 0.500
Br1 Br 0.500 0.500 0.500
N1 N 0.500 0.500 0.000
```

---

Entry 2:
Computed, not measured: KTeRh4 after structural relaxation at the PBE-GGA level of DFT.

Properties
V   18.224 Å³/atom
Formation energy (no corrections)   34.4 kJ/mol of atoms
E_tot   -126.0 eV/cell
Magnetic moment   0.00 Bohr magnetons per cell

Cell and atoms, written as CIF:
```
data_KTeRh4
_chemical_formula_sum 'K4 Te4 Rh16'
_cell_length_a 7.591
_cell_length_b 7.591
_cell_length_c 7.591
_cell_angle_alpha 90.00
_cell_angle_beta 90.00
_cell_angle_gamma 90.00
_symmetry_space_group_name_H-M 'F -4 3 m'
_symmetry_Int_Tables_number 216
_symmetry_space_group_name_Hall 'F -4 2 3'
loop_
_atom_site_label
_atom_site_type_symbol
_atom_site_fract_x
_atom_site_fract_y
_atom_site_fract_z
K1 K 0.000 0.000 0.000
Te1 Te 0.250 0.250 0.250
Rh1 Rh 0.124 0.124 0.624
```

---

Entry 3:
Computed, not measured: AcSmYCd after structural relaxation at the PBE-GGA level of DFT.

Properties
V   32.117 Å³/atom
ΔH_f (0 K)   0.06 eV per atom
Offset from the most stable computed form   194 meV/atom
E_tot   -63.9 eV/cell
Magnetic moment   0.01 Bohr magnetons per cell

Cell and atoms, written as CIF:
```
data_AcSmYCd
_chemical_formula_sum 'Ac4 Sm4 Y4 Cd4'
_cell_length_a 8.010
_cell_length_b 8.010
_cell_length_c 8.010
_cell_angle_alpha 90.00
_cell_angle_beta 90.00
_cell_angle_gamma 90.00
_symmetry_space_group_name_H-M 'F -4 3 m'
_symmetry_Int_Tables_number 216
_symmetry_space_group_name_Hall 'F -4 2 3'
loop_
_atom_site_label
_atom_site_type_symbol
_atom_site_fract_x
_atom_site_fract_y
_atom_site_fract_z
Ac1 Ac 0.000 0.000 0.000
Sm1 Sm 0.250 0.250 0.750
Y1 Y 0.250 0.250 0.250
Cd1 Cd 0.000 0.000 0.500
```